## NaLaP4O12 (GGA-PBE)

Data for a relaxed NaLaP4O12 crystal.

ΔE_f (raw) = -2454 meV per atom

Cell: 7.357 13.431 12.534 Å, 90.00 125.65 90.00°
Atoms (fractional coordinates):
Na: 0.065 0.222 0.065
Na: 0.065 0.278 0.565
Na: 0.935 0.722 0.435
Na: 0.935 0.778 0.935
La: 0.465 0.221 0.978
La: 0.465 0.279 0.478
La: 0.535 0.721 0.522
La: 0.535 0.779 0.022
P: 0.007 0.600 0.259
P: 0.007 0.900 0.759
P: 0.115 0.614 0.733
P: 0.115 0.886 0.233
P: 0.336 0.626 0.195
P: 0.336 0.874 0.695
P: 0.430 0.090 0.701
P: 0.430 0.410 0.201
P: 0.570 0.590 0.799
P: 0.570 0.910 0.299
P: 0.664 0.126 0.305
P: 0.664 0.374 0.805
P: 0.885 0.114 0.767
P: 0.885 0.386 0.267
P: 0.993 0.100 0.241
P: 0.993 0.400 0.741
O: 0.068 0.514 0.783
O: 0.068 0.986 0.283
O: 0.087 0.146 0.899
O: 0.087 0.354 0.399
O: 0.095 0.621 0.170
O: 0.095 0.879 0.670
O: 0.188 0.610 0.403
O: 0.188 0.890 0.903
O: 0.200 0.162 0.294
O: 0.200 0.338 0.794
O: 0.212 0.686 0.845
O: 0.212 0.814 0.345
O: 0.301 0.580 0.711
O: 0.301 0.920 0.211
O: 0.311 0.704 0.102
O: 0.311 0.796 0.602
O: 0.343 0.160 0.587
O: 0.343 0.340 0.087
O: 0.350 0.520 0.139
O: 0.350 0.980 0.639
O: 0.367 0.112 0.793
O: 0.367 0.388 0.293
O: 0.481 0.135 0.161
O: 0.481 0.365 0.661
O: 0.519 0.635 0.339
O: 0.519 0.865 0.839
O: 0.633 0.612 0.707
O: 0.633 0.888 0.207
O: 0.650 0.020 0.361
O: 0.650 0.480 0.861
O: 0.657 0.660 0.913
O: 0.657 0.840 0.413
O: 0.689 0.204 0.398
O: 0.689 0.296 0.898
O: 0.699 0.080 0.789
O: 0.699 0.420 0.289
O: 0.788 0.186 0.655
O: 0.788 0.314 0.155
O: 0.800 0.662 0.206
O: 0.800 0.838 0.706
O: 0.812 0.110 0.097
O: 0.812 0.390 0.597
O: 0.905 0.121 0.330
O: 0.905 0.379 0.830
O: 0.913 0.646 0.601
O: 0.913 0.854 0.101
O: 0.932 0.014 0.717
O: 0.932 0.486 0.217



## NaLaPO2 (GGA-PBE)

Data for a relaxed NaLaPO2 crystal.

ΔE_f (raw) = -986 meV per atom

Cell: 4.480 4.480 6.160 Å, 90.00 90.00 90.00°
Atoms (fractional coordinates):
Na: 0.000 0.000 0.000
La: 0.500 0.500 0.500
P: 0.500 0.500 0.000
O: 0.000 0.500 0.500
O: 0.500 0.000 0.500



## NaLaPaO4 (GGA-PBE)

Data for a relaxed NaLaPaO4 crystal.

ΔE_f (raw) = -2967 meV per atom

Cell: 7.255 7.255 7.255 Å, 121.09 119.96 89.10°
Atoms (fractional coordinates):
Na: 0.356 0.106 0.250
Na: 0.644 0.894 0.750
La: 0.000 0.500 0.500
La: 0.500 0.500 0.000
Pa: 0.000 0.000 0.500
Pa: 0.000 0.500 0.000
O: 0.186 0.737 0.450
O: 0.213 0.263 0.950
O: 0.214 0.238 0.524
O: 0.214 0.691 0.976
O: 0.786 0.309 0.024
O: 0.786 0.762 0.476
O: 0.787 0.737 0.050
O: 0.814 0.263 0.550



## Na2LaPaO6 (GGA-PBE)

Data for a relaxed Na2LaPaO6 crystal.

ΔE_f (raw) = -2479 meV per atom

Cell: 5.972 6.122 10.378 Å, 90.00 124.73 90.00°
Atoms (fractional coordinates):
Na: 0.240 0.038 0.244
Na: 0.240 0.462 0.744
Na: 0.760 0.538 0.256
Na: 0.760 0.962 0.756
La: 0.000 0.000 0.500
La: 0.000 0.500 0.000
Pa: 0.500 0.000 0.000
Pa: 0.500 0.500 0.500
O: 0.151 0.178 0.948
O: 0.151 0.322 0.448
O: 0.263 0.711 0.934
O: 0.263 0.789 0.434
O: 0.379 0.062 0.767
O: 0.379 0.438 0.267
O: 0.621 0.562 0.733
O: 0.621 0.938 0.233
O: 0.737 0.211 0.566
O: 0.737 0.289 0.066
O: 0.849 0.678 0.552
O: 0.849 0.822 0.052



## NaLaPa2O8 (GGA-PBE)

Data for a relaxed NaLaPa2O8 crystal.

ΔE_f (raw) = -2536 meV per atom

Cell: 5.885 5.885 5.759 Å, 90.00 90.00 120.00°
Atoms (fractional coordinates):
Na: 0.000 0.000 0.000
La: 0.000 0.000 0.500
Pa: 0.333 0.667 0.919
Pa: 0.667 0.333 0.081
O: 0.054 0.353 0.176
O: 0.299 0.946 0.176
O: 0.333 0.667 0.575
O: 0.353 0.299 0.824
O: 0.647 0.701 0.176
O: 0.667 0.333 0.425
O: 0.701 0.054 0.824
O: 0.946 0.647 0.824



## Na2LaPbO (GGA-PBE)

Data for a relaxed Na2LaPbO crystal.

ΔE_f (raw) = -1177 meV per atom

Cell: 5.092 5.092 4.655 Å, 90.00 90.00 90.00°
Atoms (fractional coordinates):
Na: 0.000 0.500 0.000
Na: 0.500 0.000 0.000
La: 0.000 0.000 0.500
Pb: 0.500 0.500 0.500
O: 0.000 0.000 0.000



## NaLa2PbO6 (GGA-PBE)

Data for a relaxed NaLa2PbO6 crystal.

ΔE_f (raw) = -2146 meV per atom

Cell: 5.865 6.168 10.156 Å, 90.00 122.88 90.00°
Atoms (fractional coordinates):
Na: 0.000 0.000 0.000
Na: 0.000 0.500 0.500
La: 0.216 0.060 0.739
La: 0.216 0.440 0.239
La: 0.784 0.560 0.761
La: 0.784 0.940 0.261
Pb: 0.500 0.000 0.500
Pb: 0.500 0.500 0.000
O: 0.139 0.175 0.448
O: 0.139 0.325 0.948
O: 0.230 0.709 0.408
O: 0.230 0.791 0.908
O: 0.407 0.082 0.266
O: 0.407 0.418 0.766
O: 0.593 0.582 0.234
O: 0.593 0.918 0.734
O: 0.770 0.209 0.092
O: 0.770 0.291 0.592
O: 0.861 0.675 0.052
O: 0.861 0.825 0.552



## Na4La3PbO8 (GGA-PBE)

Data for a relaxed Na4La3PbO8 crystal.

ΔE_f (raw) = -2263 meV per atom

Cell: 7.056 7.056 7.056 Å, 61.96 61.96 61.96°
Atoms (fractional coordinates):
Na: 0.000 0.000 0.000
Na: 0.000 0.500 0.500
Na: 0.500 0.000 0.500
Na: 0.500 0.500 0.000
La: 0.000 0.000 0.500
La: 0.000 0.500 0.000
La: 0.500 0.000 0.000
Pb: 0.500 0.500 0.500
O: 0.237 0.237 0.237
O: 0.241 0.742 0.742
O: 0.258 0.258 0.759
O: 0.258 0.759 0.258
O: 0.742 0.241 0.742
O: 0.742 0.742 0.241
O: 0.759 0.258 0.258
O: 0.763 0.763 0.763



## NaLa2PbO (GGA-PBE)

Data for a relaxed NaLa2PbO crystal.

ΔE_f (raw) = -1393 meV per atom

Cell: 5.037 5.037 4.910 Å, 90.00 90.00 90.00°
Atoms (fractional coordinates):
Na: 0.000 0.000 0.000
La: 0.000 0.500 0.500
La: 0.500 0.000 0.500
Pb: 0.500 0.500 0.000
O: 0.000 0.000 0.500



## NaLa2PbO5 (GGA-PBE)

Data for a relaxed NaLa2PbO5 crystal.

ΔE_f (raw) = -2156 meV per atom

Cell: 6.972 6.972 6.495 Å, 90.00 90.00 90.00°
Atoms (fractional coordinates):
Na: 0.000 0.000 0.000
Na: 0.500 0.500 0.000
La: 0.179 0.321 0.500
La: 0.321 0.821 0.500
La: 0.679 0.179 0.500
La: 0.821 0.679 0.500
Pb: 0.000 0.500 0.000
Pb: 0.500 0.000 0.000
O: 0.000 0.000 0.500
O: 0.147 0.647 0.261
O: 0.147 0.647 0.739
O: 0.353 0.147 0.261
O: 0.353 0.147 0.739
O: 0.500 0.500 0.500
O: 0.647 0.853 0.261
O: 0.647 0.853 0.739
O: 0.853 0.353 0.261
O: 0.853 0.353 0.739



## NaLa2PdO5 (GGA-PBE)

Data for a relaxed NaLa2PdO5 crystal.

ΔE_f (raw) = -2214 meV per atom

Cell: 6.950 6.950 5.859 Å, 90.00 90.00 90.00°
Atoms (fractional coordinates):
Na: 0.000 0.000 0.000
Na: 0.500 0.500 0.000
La: 0.178 0.322 0.500
La: 0.322 0.822 0.500
La: 0.678 0.178 0.500
La: 0.822 0.678 0.500
Pd: 0.000 0.500 0.000
Pd: 0.500 0.000 0.000
O: 0.000 0.000 0.500
O: 0.136 0.636 0.249
O: 0.136 0.636 0.751
O: 0.364 0.136 0.249
O: 0.364 0.136 0.751
O: 0.500 0.500 0.500
O: 0.636 0.864 0.249
O: 0.636 0.864 0.751
O: 0.864 0.364 0.249
O: 0.864 0.364 0.751



## NaLa2PdO (GGA-PBE)

Data for a relaxed NaLa2PdO crystal.

ΔE_f (raw) = -1243 meV per atom

Cell: 4.984 4.984 4.503 Å, 90.00 90.00 90.00°
Atoms (fractional coordinates):
Na: 0.000 0.000 0.000
La: 0.000 0.500 0.500
La: 0.500 0.000 0.500
Pd: 0.500 0.500 0.000
O: 0.000 0.000 0.500